A relaxed Sr2SnIrPb crystal, computed with PBE.

Results
formation enthalpy at 0 K: -1.45 eV/f.u.
density of states at the Fermi level: 0.740 states/eV/atom
symmetry: P4/mmm
electronic total energy: -0.157 Ha/atom

Geometry as CIF:
```
data_Sr2SnIrPb
_chemical_formula_sum 'Sr2 Sn1 Ir1 Pb1'
_symmetry_space_group_name_H-M 'P 1'
_symmetry_Int_Tables_number 1
_symmetry_space_group_name_Hall 'P 1'
_cell_length_a 5.799
_cell_length_b 5.092
_cell_length_c 5.799
_cell_angle_alpha 90.00
_cell_angle_beta 90.00
_cell_angle_gamma 90.00
loop_
_atom_site_label
_atom_site_type_symbol
_atom_site_fract_x
_atom_site_fract_y
_atom_site_fract_z
Pb1 Pb 0.500 0.500 0.500
Sr1 Sr 0.500 0.000 0.000
Ir1 Ir 0.000 0.000 0.000
Sn1 Sn 0.000 0.500 0.000
Sr2 Sr 0.000 0.000 0.500
```

---

A relaxed Ca4AuI5 crystal, computed with PBE.

Results
density of states at the Fermi level: 0.263 states/eV/atom
symmetry: C2/m
energy relative to the elements, uncorrected: -1.303 eV/atom
electronic total energy: -0.118 Ha/atom

Geometry as CIF:
```
data_Ca4AuI5
_chemical_formula_sum 'Ca4 Au1 I5'
_symmetry_space_group_name_H-M 'P 1'
_symmetry_Int_Tables_number 1
_symmetry_space_group_name_Hall 'P 1'
_cell_length_a 4.398
_cell_length_b 9.089
_cell_length_c 10.246
_cell_angle_alpha 105.01
_cell_angle_beta 102.39
_cell_angle_gamma 90.00
loop_
_atom_site_label
_atom_site_type_symbol
_atom_site_fract_x
_atom_site_fract_y
_atom_site_fract_z
I1 I 0.825 0.172 0.650
Au1 Au 0.500 0.000 0.000
Ca1 Ca 0.345 0.932 0.690
I2 I 0.840 0.682 0.681
I3 I 0.175 0.828 0.350
Ca2 Ca 0.995 0.228 0.990
I4 I 0.160 0.318 0.319
Ca3 Ca 0.005 0.772 0.010
I5 I 0.500 0.500 0.000
Ca4 Ca 0.655 0.068 0.310
```

---

Number 1: M_tot 0.82 μB/f.u.. Number 2: M_tot 0.62 μB/f.u..